Below is Mg2ZrReO8 after structural relaxation, with properties calculated at the PBE level.

It has space group Cmmm (No. 65), with a = 6.571 Å, b = 6.882 Å, c = 6.305 Å, α = 90.00°, β = 90.00° and γ = 90.00°. Symmetry generates all atoms from Mg at (0.000, 0.000, 0.244), Zr at (0.000, 0.500, 0.500), Re at (0.000, 0.500, 0.000), O at (0.000, 0.312, 0.222), O at (0.192, 0.000, 0.500) and O at (0.215, 0.000, 0.000).

The formation energy from raw total energies is -2.175 eV/atom. As for the calculated total energy: -0.275 Ha/atom.